## A
Density functional theory data (PBEsol) for a relaxed structure of KTcRu.

Computed properties:
D(E_F)   11.56 states/eV per cell
Total moment   0.0 Bohr magnetons per cell

Lattice parameters (Å, degrees): 6.144 6.144 6.144 90.00 90.00 90.00
Space group F-43m (No. 216)
Unique sites:
K  0.000  0.000  0.000 x4
Tc  0.000  0.000  0.500 x4
Ru  0.250  0.250  0.250 x4



## B
Density functional theory data (PBEsol) for a relaxed structure of KTcRu.

Computed properties:
D(E_F)   13.33 states/eV per cell
Total moment   0.0 Bohr magnetons per cell

Lattice parameters (Å, degrees): 2.869 4.618 15.791 90.00 90.00 90.00
Space group Fmm2 (No. 42)
Unique sites:
K  0.000  0.000  0.000 x4
Tc  0.000  0.000  0.311 x4
Ru  0.000  0.000  0.680 x4



## C
Density functional theory data (PBEsol) for a relaxed structure of KTcRu.

Computed properties:
D(E_F)   7.89 states/eV per cell
Total moment   0.0 Bohr magnetons per cell

Lattice parameters (Å, degrees): 2.987 2.987 13.871 90.00 90.00 90.00
Space group I4mm (No. 107)
Unique sites:
K  0.000  0.000  0.000 x2
Tc  0.000  0.000  0.287 x2
Ru  0.000  0.000  0.697 x2



Quick one: most stable of them? C



## A
Density functional theory data (PBEsol) for a relaxed structure of KTlRu2.

Computed properties:
D(E_F)   7.26 states/eV per cell
Total moment   1.8 Bohr magnetons per cell

Lattice parameters (Å, degrees): 3.488 3.488 7.242 90.00 90.00 90.00
Space group P4/mmm (No. 123)
Unique sites:
K  0.000  0.000  0.000 x1
Tl  0.000  0.000  0.500 x1
Ru  0.500  0.500  0.331 x2



## B
Density functional theory data (PBEsol) for a relaxed structure of KTlRu2.

Computed properties:
D(E_F)   6.74 states/eV per cell
Total moment   0.0 Bohr magnetons per cell

Lattice parameters (Å, degrees): 8.018 2.864 7.902 90.00 95.07 90.00
Space group Cm (No. 8)
Unique sites:
K  0.000  0.000  0.000 x2
Tl  0.237  0.000  0.653 x2
Ru  0.002  0.500  0.417 x2
Ru  0.262  0.500  0.312 x2



Quick one: most stable of them? B



## A
Density functional theory data (PBEsol) for a relaxed structure of KTlRu2.

Computed properties:
D(E_F)   4.86 states/eV per cell
Total moment   1.6 Bohr magnetons per cell

Lattice parameters (Å, degrees): 2.814 4.922 6.374 90.00 95.16 90.00
Space group P2/m (No. 10)
Unique sites:
K  0.000  0.000  0.000 x1
Tl  0.500  0.000  0.500 x1
Ru  0.268  0.500  0.663 x2



## B
Density functional theory data (PBEsol) for a relaxed structure of KTlRu2.

Computed properties:
D(E_F)   13.42 states/eV per cell
Total moment   1.7 Bohr magnetons per cell

Lattice parameters (Å, degrees): 2.9455 2.9455 29.9210 90.00 90.00 120.00
Space group R-3m (No. 166, hexagonal axes)
Unique sites:
K  0.0000  0.0000  0.0000 x3
Tl  0.0000  0.0000  0.5000 x3
Ru  0.0000  0.0000  0.2402 x6



Quick one: most stable of them? A



## A
Density functional theory data (PBEsol) for a relaxed structure of KRuW2.

Computed properties:
D(E_F)   2.75 states/eV per cell
Total moment   0.0 Bohr magnetons per cell

Lattice parameters (Å, degrees): 2.737 3.853 8.246 90.00 98.97 90.00
Space group P2/m (No. 10)
Unique sites:
K  0.000  0.000  0.000 x1
Ru  0.500  0.000  0.500 x1
W  0.065  0.500  0.651 x2



## B
Density functional theory data (PBEsol) for a relaxed structure of KRuW2.

Computed properties:
D(E_F)   2.80 states/eV per cell
Total moment   0.0 Bohr magnetons per cell

Lattice parameters (Å, degrees): 2.812 2.812 9.530 90.00 90.00 90.00
Space group P4mm (No. 99)
Unique sites:
K  0.000  0.000  0.000 x1
Ru  0.500  0.500  0.286 x1
W  0.000  0.000  0.457 x1
W  0.500  0.500  0.673 x1



## C
Density functional theory data (PBEsol) for a relaxed structure of KRuW2.

Computed properties:
D(E_F)   2.81 states/eV per cell
Total moment   0.0 Bohr magnetons per cell

Lattice parameters (Å, degrees): 2.762 2.762 9.920 90.00 90.00 90.00
Space group P4/mmm (No. 123)
Unique sites:
K  0.000  0.000  0.000 x1
Ru  0.000  0.000  0.500 x1
W  0.500  0.500  0.315 x2



Quick one: most stable of them? B



## A
Density functional theory data (PBEsol) for a relaxed structure of KYS3.

Computed properties:
D(E_F)   6.89 states/eV per cell
Total moment   0.8 Bohr magnetons per cell

Lattice parameters (Å, degrees): 5.234 5.234 5.234 90.00 90.00 90.00
Space group Pm-3m (No. 221)
Unique sites:
K  0.000  0.000  0.000 x1
Y  0.500  0.500  0.500 x1
S  0.000  0.500  0.500 x3



## B
Density functional theory data (PBEsol) for a relaxed structure of KYS3.

Computed properties:
D(E_F)   4.45 states/eV per cell
Total moment   0.0 Bohr magnetons per cell

Lattice parameters (Å, degrees): 4.992 4.992 4.992 90.00 90.00 90.00
Space group Pm-3m (No. 221)
Unique sites:
K  0.000  0.000  0.000 x1
Y  0.500  0.500  0.500 x1
S  0.000  0.000  0.500 x3



Quick one: most stable of them? A



## A
Density functional theory data (PBEsol) for a relaxed structure of K5Sb4.

Computed properties:
D(E_F)   4.88 states/eV per cell
Total moment   0.0 Bohr magnetons per cell

Lattice parameters (Å, degrees): 12.289 5.430 11.194 90.00 111.74 90.00
Space group C2/m (No. 12)
Unique sites:
K  0.000  0.000  0.000 x2
K  0.100  0.000  0.391 x4
K  0.246  0.000  0.834 x4
Sb  0.044  0.500  0.825 x4
Sb  0.106  0.500  0.609 x4



## B
Density functional theory data (PBEsol) for a relaxed structure of K5Sb4.

Computed properties:
D(E_F)   3.14 states/eV per cell
Total moment   0.0 Bohr magnetons per cell

Lattice parameters (Å, degrees): 6.449 6.778 8.118 92.19 90.30 95.93
Space group P-1 (No. 2)
Unique sites:
K  0.000  0.000  0.000 x1
K  0.247  0.199  0.528 x2
K  0.292  0.527  0.156 x2
Sb  0.215  0.673  0.711 x2
Sb  0.483  0.028  0.173 x2



Quick one: most stable of them? A